Entry 1:
A plane-wave DFT calculation with PBE was carried out for Mn2Fe5SiTc2 after structural relaxation.

abc: 8.0294 8.0294 3.7234
angles: 90.00 90.00 90.00
Fractional coordinates of all 20 atoms:
Mn1 0.1306 0.3694 0.0000
Mn2 0.3694 0.8694 0.0000
Mn3 0.6306 0.1306 0.0000
Mn4 0.8694 0.6306 0.0000
Fe1 0.0000 0.5000 0.5000
Fe2 0.0711 0.1989 0.5000
Fe3 0.1989 0.9289 0.5000
Fe4 0.3011 0.4289 0.5000
Fe5 0.4289 0.6989 0.5000
Fe6 0.5000 0.0000 0.5000
Fe7 0.5711 0.3011 0.5000
Fe8 0.6989 0.5711 0.5000
Fe9 0.8011 0.0711 0.5000
Fe10 0.9289 0.8011 0.5000
Si1 0.0000 0.0000 0.0000
Si2 0.5000 0.5000 0.0000
Tc1 0.1635 0.6635 0.0000
Tc2 0.3365 0.1635 0.0000
Tc3 0.6635 0.8365 0.0000
Tc4 0.8365 0.3365 0.0000

Size of the total moment (Bohr magnetons per cell): 8.19
ΔE_f (raw) (eV per atom): 0.096

Entry 2:
A plane-wave DFT calculation with PBE was carried out for Mn5Fe2SiTc2 after structural relaxation.

abc: 8.0079 8.0079 3.7133
angles: 90.00 90.00 90.00
Fractional coordinates of all 20 atoms:
Mn1 0.0000 0.5000 0.0000
Mn2 0.0699 0.1962 0.0000
Mn3 0.1962 0.9301 0.0000
Mn4 0.3038 0.4301 0.0000
Mn5 0.4301 0.6962 0.0000
Mn6 0.5000 0.0000 0.0000
Mn7 0.5699 0.3038 0.0000
Mn8 0.6962 0.5699 0.0000
Mn9 0.8038 0.0699 0.0000
Mn10 0.9301 0.8038 0.0000
Fe1 0.1302 0.3698 0.5000
Fe2 0.3698 0.8698 0.5000
Fe3 0.6302 0.1302 0.5000
Fe4 0.8698 0.6302 0.5000
Si1 0.0000 0.0000 0.5000
Si2 0.5000 0.5000 0.5000
Tc1 0.1643 0.6643 0.5000
Tc2 0.3357 0.1643 0.5000
Tc3 0.6643 0.8357 0.5000
Tc4 0.8357 0.3357 0.5000

Size of the total moment (Bohr magnetons per cell): 0.00
ΔE_f (raw) (eV per atom): 0.104